Here is an optimized crystal structure of Sm5ErHg3 from Alexandria via LeMat-Bulk. Energies are from GGA-PBE.

The structure belongs to space group P6_3/mcm (No. 193); the cell edges are 9.2538, 9.2538 and 6.9766 Å and the angles 90.00°, 90.00° and 120.00°. The distinct sites, in fractional coordinates, are Sm at (0.0000, 0.3343, 0.2500), Sm at (0.3333, 0.6667, 0.0000), Er at (0.0000, 0.0000, 0.0000) and Hg at (0.0000, 0.3294, 0.7500).

As for the formation energy: -294 meV/atom. The value obtained for the magnetic moment is 0.0 μB per formula unit. The calculation puts the density at 9.8 g/cm3.